First-principles (PBE) data for crystalline TmMnAl2 at its relaxed geometry, as listed in Alexandria.

a b c (Å): 3.0916 3.0916 9.3478
angles (deg): 80.48 80.48 60.00
Element x y z (fractional)
Tm  0.5000  0.5000  0.5000
Al  0.7390  0.7390  0.7829
Al  0.2610  0.2610  0.2171
Mn  0.0000  0.0000  0.0000

Properties
* calculated total energy: -5.211 eV/atom
* energy relative to the elements: 6.8 kJ per mole of atoms
* DOS at the Fermi energy: 0.873 states/eV/atom

First-principles (PBE) data for crystalline LiTiO2 at its relaxed geometry, as listed in Alexandria.

a b c (Å): 5.7714 7.7246 5.1341
angles (deg): 29.00 55.80 41.66
Element x y z (fractional)
Li  0.7500  0.0000  0.5000
Li  0.5000  0.5000  0.5000
O  0.0009  0.0000  0.9983
O  0.2491  0.5000  0.0017
O  0.7509  0.5000  0.9983
O  0.4991  0.0000  0.0017
Ti  0.2500  0.0000  0.5000
Ti  0.0000  0.5000  0.5000

Properties
* formation energy from raw total energies: -2628.8 meV per atom
* calculated total energy: -7.560 eV/atom
* DOS at the Fermi energy: 0.328 states/eV/atom

First-principles (PBE) data for crystalline La8CoAs3I4 at its relaxed geometry, as listed in Alexandria.

a b c (Å): 8.7611 9.2718 8.7933
angles (deg): 118.22 119.88 90.00
Element x y z (fractional)
La  0.2170  0.6917  0.9741
La  0.2269  0.6992  0.4538
La  0.2655  0.2961  0.5309
La  0.7571  0.6917  0.9741
La  0.2429  0.3083  0.0259
La  0.7345  0.7039  0.4691
La  0.7731  0.3008  0.5462
La  0.7830  0.3083  0.0259
Co  0.0000  0.5000  0.0000
As  0.5000  0.5000  0.0000
As  0.5000  0.5000  0.5000
As  0.0000  0.5000  0.5000
I  0.5000  0.0000  0.0000
I  0.5000  0.0000  0.5000
I  0.0000  0.0000  0.0000
I  0.0000  0.0000  0.5000

Properties
* formation energy from raw total energies: -1203.3 meV per atom
* calculated total energy: -5.370 eV/atom
* DOS at the Fermi energy: 0.752 states/eV/atom